A plane-wave DFT calculation with PBE was carried out for a relaxed structure of K2TaRuF.

Results
formation energy from raw total energies: 0.494 eV per atom
crystal system: tetragonal

a b c (Å): 6.373 6.373 4.608
angles (deg): 90.00 90.00 90.00
Fractional coordinates of all 5 atoms:
K 0.000 0.500 0.000
K 0.500 0.000 0.000
Ta 0.000 0.000 0.500
Ru 0.000 0.000 0.000
F 0.500 0.500 0.500

A plane-wave DFT calculation with PBE was carried out for a relaxed structure of K2TiRuF.

Results
formation energy from raw total energies: 0.123 eV per atom
crystal system: tetragonal

a b c (Å): 6.358 6.358 4.411
angles (deg): 90.00 90.00 90.00
Fractional coordinates of all 5 atoms:
K 0.000 0.500 0.000
K 0.500 0.000 0.000
Ti 0.000 0.000 0.500
Ru 0.000 0.000 0.000
F 0.500 0.500 0.500

no.,E_tot (eV/atom)
1,-4.545
2,-4.125